A relaxed Cd2PbAuF crystal. Source: Alexandria via LeMat-Bulk, functional PBE.

Summary:
total energy	-10.4	eV for the cell shown
M_tot	0.00	μB per atom
crystal system	tetragonal

Cell lengths 5.6661, 5.6661, 5.2501 Å; angles 90.00, 90.00, 90.00 degrees
Last column: nearest neighbours and their distance in Å.
Space group P4/mmm (No. 123)
Symmetry-distinct sites (fractional):
1 Cd 0.0000 0.5000 0.0000 x2  2 Pb 2.83
2 Pb 0.0000 0.0000 0.0000 x1  2 Au 2.63, 4 Cd 2.83
3 Au 0.0000 0.0000 0.5000 x1  2 Pb 2.63
4 F 0.5000 0.5000 0.5000 x1  8 Cd 3.86, 4 Au 4.01